No. 1
Here is an optimized crystal structure of Cr2SiRh from Alexandria. Energies are from PBE-GGA.

Cell: 2.926 2.926 5.838 Å, 90.00 90.00 90.00°
Fractional positions:
Cr 0.000 0.000 0.002
Cr 0.500 0.500 0.215
Rh 0.000 0.000 0.521
Si 0.500 0.500 0.762

Results
ΔE_f (raw)   -286 meV/atom
Density of states at the Fermi level   2.831 states/eV/f.u.

---

No. 2
Here is an optimized crystal structure of InNiTe from Alexandria. Energies are from PBE-GGA.

Cell: 5.050 9.055 4.445 Å, 72.88 82.62 46.85°
Fractional positions:
In 0.044 0.558 0.718
In 0.749 0.249 0.214
Ni 0.670 0.460 0.614
Ni 0.349 0.852 0.590
Te 0.227 0.779 0.153
Te 0.335 0.129 0.634

Results
ΔE_f (raw)   -98 meV/atom
Energy above the most stable polymorph in this dataset   20.1 meV per atom
Density of states at the Fermi level   1.533 states/eV/f.u.

---

No. 3
Here is an optimized crystal structure of CaY2PuBi4 from Alexandria. Energies are from PBE-GGA.

Cell: 4.527 7.878 7.810 Å, 70.82 90.00 90.00°
Fractional positions:
Ca 0.000 0.500 0.500
Y 0.000 0.000 0.000
Y 0.500 0.000 0.500
Pu 0.500 0.500 0.000
Bi 0.000 0.754 0.752
Bi 0.000 0.246 0.248
Bi 0.500 0.756 0.244
Bi 0.500 0.244 0.756

Results
Energy of formation   -15.9 kcal/mol of atoms
Density of states at the Fermi level   18.114 states/eV/f.u.

---

Calculated final energy, -8.291; -3.985; -6.288 eV/atom (same order as the records).